First-principles (PBE with a Hubbard U) data for a geometry-optimized TaMnIO2 structure, as listed in the Alexandria database.

Unit cell a=4.0026 b=4.0026 c=6.0378 alpha=90.00 beta=90.00 gamma=90.00
With the nearest neighbours (Å) after each atom.
Space group P4/mmm (No. 123)
One atom of each set of equivalent atoms:
Ta1 0.0000 0.0000 0.0000 (multiplicity 1)  4 O 2.00
Mn1 0.5000 0.5000 0.5000 (multiplicity 1)  4 I 2.83
I1 0.0000 0.0000 0.5000 (multiplicity 1)  4 Mn 2.83, 2 Ta 3.02
O1 0.0000 0.5000 0.0000 (multiplicity 2)  2 Ta 2.00

As for the crystal system: tetragonal. Its total energy is -7.17 eV per atom. Its magnetization is 4.5 μB per formula unit. As for the calculated volume: 97 Å³ per cell.